(1)
A plane-wave DFT calculation with GGA-PBE was carried out for a geometry-optimized Tl2CuTe structure.

The structure in POSCAR format:
```
Tl2CuTe
1.0
-3.158 3.158 7.115
3.158 -3.158 7.115
3.158 3.158 -7.115
Tl Cu Te
4 2 2
Cartesian
4.737 1.183 -1.779
1.183 1.579 1.779
-1.579 1.975 5.337
1.975 1.579 8.894
0.000 0.000 0.000
0.000 3.158 3.558
3.158 0.000 3.558
0.000 0.000 7.115
```

## Properties
As for the density of states at the Fermi level: 2.98 states/eV per cell. Its energy relative to the elements, uncorrected is 0.170 eV/atom. The energy above the lowest structure with this stoichiometry is 214.1 meV per atom.

=====

(2)
A plane-wave DFT calculation with GGA-PBE was carried out for a geometry-optimized TlCuTe structure.

The structure in POSCAR format:
```
TlCuTe
1.0
6.463 -2.184 0.000
6.463 2.184 0.000
-4.819 0.000 6.566
Tl Cu Te
2 2 2
Cartesian
-0.713 0.000 1.690
8.819 0.000 4.877
2.752 0.000 0.432
5.355 0.000 6.134
-0.264 0.000 5.012
8.371 0.000 1.555
```

## Properties
As for the density of states at the Fermi level: 0.50 states/eV per cell. Its energy relative to the elements, uncorrected is -0.141 eV/atom.

=====

(3)
A plane-wave DFT calculation with GGA-PBE was carried out for a geometry-optimized TlCuTe structure.

The structure in POSCAR format:
```
TlCuTe
1.0
4.494 0.000 0.000
0.000 4.494 0.000
0.000 0.000 8.143
Tl Cu Te
2 2 2
Cartesian
1.123 1.123 1.376
3.370 3.370 6.767
1.123 3.370 4.072
3.370 1.123 4.072
1.123 1.123 5.593
3.370 3.370 2.550
```

## Properties
As for the density of states at the Fermi level: 0.00 states/eV per cell. Its energy relative to the elements, uncorrected is -0.136 eV/atom.